[1]
Below is a PBEsol-optimized structure of ReHgCl2, with properties calculated at the meta-GGA SCAN level.

## Properties
volume: 19.94 A^3/atom
energy above the lowest structure with this stoichiometry: 0.0 meV/atom
calculated total energy: -154.53 eV per cell
uncorrected formation energy: 16.58 kJ/mol of atoms
M_tot: 0.00 μB/cell

The structure in POSCAR format:
```
ReHgCl2
1.0
2.890 0.000 0.000
-1.445 2.758 0.000
0.000 0.000 10.004
Re Hg Cl
1 1 2
Cartesian
1.445 0.000 0.000
1.445 0.000 5.002
0.000 0.000 8.115
0.000 0.000 1.890
```

[2]
Below is a PBEsol-optimized structure of ReHg2Cl, with properties calculated at the meta-GGA SCAN level.

## Properties
volume: 18.70 A^3/atom
calculated total energy: -210.45 eV per cell
uncorrected formation energy: 119.51 kJ/mol of atoms
M_tot: 2.38 μB/cell

The structure in POSCAR format:
```
ReHg2Cl
1.0
-1.391 -0.033 -4.520
1.975 -3.016 -3.060
-2.503 -3.645 -1.677
Re Hg Cl
1 2 1
Cartesian
-0.480 -1.674 -2.314
0.000 0.000 0.000
-1.440 -5.021 -6.943
-0.960 -3.347 -4.629
```

[3]
Below is a PBEsol-optimized structure of ReHgCl2, with properties calculated at the meta-GGA SCAN level.

## Properties
volume: 17.58 A^3/atom
energy above the lowest structure with this stoichiometry: 985.7 meV/atom
calculated total energy: -150.59 eV per cell
uncorrected formation energy: 111.69 kJ/mol of atoms
M_tot: 2.05 μB/cell

The structure in POSCAR format:
```
ReHgCl2
1.0
-0.075 2.611 1.395
1.802 -2.166 4.151
3.815 1.619 -2.826
Re Hg Cl
1 1 2
Cartesian
2.771 1.032 1.360
-0.037 1.306 0.698
0.901 -1.083 2.075
1.908 0.810 -1.413
```

[4]
Below is a PBEsol-optimized structure of ReHgW2Cl, with properties calculated at the meta-GGA SCAN level.

## Properties
volume: 23.87 A^3/atom
calculated total energy: -277.46 eV per cell
uncorrected formation energy: 176.65 kJ/mol of atoms
M_tot: 1.98 μB/cell

The structure in POSCAR format:
```
ReHgW2Cl
1.0
-3.587 0.939 2.963
-0.260 -4.599 1.143
3.457 0.783 3.937
Re Hg W Cl
1 1 2 1
Cartesian
0.000 0.000 0.000
1.729 0.392 1.968
-0.130 -2.300 0.572
-1.793 0.470 1.482
-0.195 -1.438 4.022
```

[5]
Below is a PBEsol-optimized structure of Hg2RuCl, with properties calculated at the meta-GGA SCAN level.

## Properties
volume: 18.95 A^3/atom
calculated total energy: -175.96 eV per cell
uncorrected formation energy: 76.67 kJ/mol of atoms
M_tot: 1.07 μB/cell

The structure in POSCAR format:
```
Hg2RuCl
1.0
-0.862 -4.634 -0.593
1.548 -3.135 3.216
-3.098 -2.222 2.834
Ru Hg Cl
1 2 1
Cartesian
-1.206 -4.995 2.728
-1.809 -7.492 4.093
-0.603 -2.497 1.364
0.000 0.000 0.000
```

[6]
Below is a PBEsol-optimized structure of Hg3RuCl, with properties calculated at the meta-GGA SCAN level.

## Properties
volume: 27.20 A^3/atom
calculated total energy: -240.52 eV per cell
uncorrected formation energy: 130.96 kJ/mol of atoms
M_tot: 2.59 μB/cell

The structure in POSCAR format:
```
Hg3RuCl
1.0
5.142 0.000 0.000
0.000 5.142 0.000
0.000 0.000 5.142
Ru Hg Cl
1 3 1
Cartesian
2.571 2.571 2.571
0.000 2.571 0.000
0.000 0.000 2.571
2.571 0.000 0.000
0.000 0.000 0.000
```

[7]
Below is a PBEsol-optimized structure of Hg3SCl, with properties calculated at the meta-GGA SCAN level.

## Properties
volume: 28.49 A^3/atom
calculated total energy: -218.90 eV per cell
uncorrected formation energy: 61.87 kJ/mol of atoms
M_tot: 0.00 μB/cell

The structure in POSCAR format:
```
Hg3SCl
1.0
-2.489 2.673 3.733
-4.443 -2.474 -1.191
1.159 -3.743 3.453
S Hg Cl
1 3 1
Cartesian
-2.886 -1.772 2.998
-2.221 -1.237 -0.595
0.579 -1.871 1.726
-1.244 1.337 1.866
0.000 0.000 0.000
```

[8]
Below is a PBEsol-optimized structure of ScHgSCl2, with properties calculated at the meta-GGA SCAN level.

## Properties
volume: 23.82 A^3/atom
calculated total energy: -114.52 eV per cell
uncorrected formation energy: -126.10 kJ/mol of atoms
M_tot: 0.00 μB/cell

The structure in POSCAR format:
```
ScHgSCl2
1.0
-4.096 0.650 -2.490
-2.504 -2.086 3.575
-0.624 4.541 2.212
Sc S Hg Cl
1 1 1 2
Cartesian
0.000 0.000 0.000
-0.312 2.271 1.106
-3.612 1.553 1.649
-1.252 -1.043 1.788
-2.048 0.325 -1.245
```